Record 1
BeRe2Ag, relaxed, DFT GGA-PBEsol; N(E_F) = 0.849 states/eV per atom; ΔH_f (0 K) = 0.225 eV/atom; ρ = 14.68 g cm⁻³; total DFT energy (no corrections) = -33.08 eV for the cell shown; total magnetization = 0.000 μB/atom; calculated volume = 13.84 Å³/atom
1.0
2.9027 0.0000 0.0000
0.0000 2.9027 0.0000
0.0000 0.0000 6.5689
Be Re Ag
1 2 1
direct
0.0000 0.0000 0.0000
0.0000 0.0000 0.4453
0.5000 0.5000 0.2141
0.5000 0.5000 0.7702

=====

Record 2
Be2AgRh, relaxed, DFT GGA-PBEsol; N(E_F) = 0.212 states/eV per atom; ΔH_f (0 K) = -0.363 eV/atom; ρ = 8.39 g cm⁻³; total DFT energy (no corrections) = -20.90 eV for the cell shown; total magnetization = 0.000 μB/atom; calculated volume = 11.32 Å³/atom
1.0
2.8315 0.0000 0.0000
0.0000 2.8315 0.0000
0.0000 0.0000 5.6499
Be Ag Rh
2 1 1
direct
0.0000 0.0000 0.2111
0.0000 0.0000 0.7889
0.5000 0.5000 0.5000
0.5000 0.5000 0.0000

=====

Record 3
BeAgRh, relaxed, DFT GGA-PBEsol; N(E_F) = 0.405 states/eV per atom; ΔH_f (0 K) = 0.049 eV/atom; ρ = 9.05 g cm⁻³; total DFT energy (no corrections) = -15.30 eV for the cell shown; total magnetization = 0.000 μB/atom; calculated volume = 13.45 Å³/atom
1.0
0.0000 2.7221 2.7221
2.7221 0.0000 2.7221
2.7221 2.7221 0.0000
Be Ag Rh
1 1 1
direct
0.0000 0.0000 0.0000
0.7500 0.7500 0.7500
0.2500 0.2500 0.2500

=====

Record 4
BeAgRu2, relaxed, DFT GGA-PBEsol; N(E_F) = 0.702 states/eV per atom; ΔH_f (0 K) = 0.313 eV/atom; ρ = 10.43 g cm⁻³; total DFT energy (no corrections) = -26.40 eV for the cell shown; total magnetization = 0.000 μB/atom; calculated volume = 12.70 Å³/atom
1.0
-1.4549 2.1384 4.0805
1.4549 -2.1384 4.0805
1.4549 2.1384 -4.0805
Be Ag Ru
1 1 2
direct
0.0000 0.0000 0.0000
0.7747 0.2747 0.5000
0.2240 0.7240 0.5000
0.4919 0.4919 0.0000

=====

Record 5
BeAgRu2, relaxed, DFT GGA-PBEsol; N(E_F) = 1.080 states/eV per atom; ΔH_f (0 K) = 0.470 eV/atom; ρ = 9.94 g cm⁻³; total DFT energy (no corrections) = -25.78 eV for the cell shown; total magnetization = 0.001 μB/atom; calculated volume = 13.32 Å³/atom
1.0
2.7666 0.0000 0.0000
0.0000 4.3166 0.0000
0.0000 0.0000 4.4617
Be Ag Ru
1 1 2
direct
0.0000 0.0000 0.0000
0.5000 0.5000 0.0000
0.0000 0.5000 0.5000
0.5000 0.0000 0.5000

=====

Record 6
Be2AgTeRu, relaxed, DFT GGA-PBEsol; N(E_F) = 0.904 states/eV per atom; ρ = 6.68 g cm⁻³; total DFT energy (no corrections) = -20.44 eV for the cell shown; total magnetization = 0.000 μB/atom; calculated volume = 17.63 Å³/atom; formation energy from raw total energies = 4.57 eV per formula unit
1.0
4.1644 0.0000 0.0000
0.0000 4.1644 0.0000
0.0000 0.0000 5.0828
Be Ag Te Ru
2 1 1 1
direct
0.0000 0.5000 0.0000
0.5000 0.0000 0.0000
0.0000 0.0000 0.5000
0.5000 0.5000 0.5000
0.0000 0.0000 0.0000

=====

Record 7
BeAgSb3, relaxed, DFT GGA-PBEsol; N(E_F) = 0.725 states/eV per atom; excess energy over the best structure of this formula in the dataset = 0.606 eV/atom; ρ = 5.54 g cm⁻³; total DFT energy (no corrections) = -15.16 eV for the cell shown; total magnetization = 0.000 μB/atom; calculated volume = 28.91 Å³/atom; formation energy from raw total energies = 5.82 eV per formula unit
1.0
5.2479 0.0000 0.0000
0.0000 5.2479 0.0000
0.0000 0.0000 5.2479
Be Ag Sb
1 1 3
direct
0.0000 0.0000 0.0000
0.5000 0.5000 0.5000
0.0000 0.5000 0.5000
0.5000 0.0000 0.5000
0.5000 0.5000 0.0000

=====

Record 8
BeAg2Sb, relaxed, DFT GGA-PBEsol; N(E_F) = 0.268 states/eV per atom; ρ = 8.39 g cm⁻³; total DFT energy (no corrections) = -14.42 eV for the cell shown; total magnetization = 0.000 μB/atom; calculated volume = 17.14 Å³/atom; formation energy from raw total energies = 0.76 eV per formula unit
1.0
2.0949 -2.0993 0.0000
2.0949 2.0993 0.0000
0.0000 0.0000 7.7948
Be Ag Sb
1 2 1
direct
0.0000 0.0000 0.0000
0.5000 0.5000 0.1822
0.5000 0.5000 0.8178
0.0000 0.0000 0.5000

=====

Record 9
BeAgSb3, relaxed, DFT GGA-PBEsol; N(E_F) = 0.542 states/eV per atom; excess energy over the best structure of this formula in the dataset = 0.000 eV/atom; ρ = 6.99 g cm⁻³; total DFT energy (no corrections) = -18.19 eV for the cell shown; total magnetization = 0.000 μB/atom; calculated volume = 22.92 Å³/atom; formation energy from raw total energies = 2.79 eV per formula unit
1.0
4.8575 0.0000 0.0000
0.0000 4.8575 0.0000
0.0000 0.0000 4.8575
Be Ag Sb
1 1 3
direct
0.0000 0.0000 0.0000
0.5000 0.5000 0.5000
0.0000 0.0000 0.5000
0.0000 0.5000 0.0000
0.5000 0.0000 0.0000

=====

Record 10
ScBeAg2, relaxed, DFT GGA-PBEsol; N(E_F) = 0.670 states/eV per atom; ΔH_f (0 K) = 0.205 eV/atom; excess energy over the best structure of this formula in the dataset = 0.262 eV/atom; ρ = 6.81 g cm⁻³; total DFT energy (no corrections) = -16.41 eV for the cell shown; total magnetization = 0.000 μB/atom; calculated volume = 16.45 Å³/atom
1.0
2.7665 -4.6421 0.0000
2.7665 4.6421 0.0000
-1.3031 0.0000 2.5620
Sc Be Ag
1 1 2
direct
0.0000 0.0000 0.0000
0.5000 0.5000 0.0000
0.0000 0.5000 0.5000
0.5000 0.0000 0.5000

=====

Record 11
Sc2BeAg, relaxed, DFT GGA-PBEsol; N(E_F) = 0.744 states/eV per atom; ΔH_f (0 K) = -0.108 eV/atom; excess energy over the best structure of this formula in the dataset = 0.066 eV/atom; ρ = 4.83 g cm⁻³; total DFT energy (no corrections) = -20.96 eV for the cell shown; total magnetization = 0.000 μB/atom; calculated volume = 17.76 Å³/atom
1.0
0.0000 3.2875 3.2875
3.2875 0.0000 3.2875
3.2875 3.2875 0.0000
Sc Be Ag
2 1 1
direct
0.2500 0.2500 0.2500
0.7500 0.7500 0.7500
0.0000 0.0000 0.0000
0.5000 0.5000 0.5000

=====

Record 12
ScBeAg2, relaxed, DFT GGA-PBEsol; N(E_F) = 0.610 states/eV per atom; ΔH_f (0 K) = -0.057 eV/atom; excess energy over the best structure of this formula in the dataset = 0.000 eV/atom; ρ = 7.20 g cm⁻³; total DFT energy (no corrections) = -17.45 eV for the cell shown; total magnetization = 0.000 μB/atom; calculated volume = 15.55 Å³/atom
1.0
2.9972 0.0000 0.0000
0.0000 2.9972 0.0000
0.0000 0.0000 6.9234
Sc Be Ag
1 1 2
direct
0.0000 0.0000 0.0000
0.0000 0.0000 0.5000
0.5000 0.5000 0.2976
0.5000 0.5000 0.7024

=====

Record 13
Sc2BeAg, relaxed, DFT GGA-PBEsol; N(E_F) = 0.663 states/eV per atom; ΔH_f (0 K) = -0.175 eV/atom; excess energy over the best structure of this formula in the dataset = 0.000 eV/atom; ρ = 4.97 g cm⁻³; total DFT energy (no corrections) = -21.22 eV for the cell shown; total magnetization = 0.000 μB/atom; calculated volume = 17.29 Å³/atom
1.0
3.2354 0.0000 0.0000
0.0000 3.2354 0.0000
0.0000 0.0000 6.6059
Sc Be Ag
2 1 1
direct
0.0000 0.0000 0.2268
0.0000 0.0000 0.7732
0.5000 0.5000 0.0000
0.5000 0.5000 0.5000

=====

Record 14
BeAg2Se, relaxed, DFT GGA-PBEsol; N(E_F) = 0.271 states/eV per atom; excess energy over the best structure of this formula in the dataset = 0.081 eV/atom; ρ = 8.03 g cm⁻³; total DFT energy (no corrections) = -13.60 eV for the cell shown; total magnetization = 0.000 μB/atom; calculated volume = 15.71 Å³/atom; formation energy from raw total energies = 0.88 eV per formula unit
1.0
1.4341 0.8280 8.8177
-1.4341 0.8280 8.8177
0.0000 -1.6560 8.8177
Be Ag Se
1 2 1
direct
0.0000 0.0000 0.0000
0.2644 0.2644 0.2644
0.7356 0.7356 0.7356
0.5000 0.5000 0.5000

=====

Record 15
BeAg2Se, relaxed, DFT GGA-PBEsol; N(E_F) = 0.169 states/eV per atom; excess energy over the best structure of this formula in the dataset = 0.043 eV/atom; ρ = 7.76 g cm⁻³; total DFT energy (no corrections) = -13.75 eV for the cell shown; total magnetization = 0.000 μB/atom; calculated volume = 16.25 Å³/atom; formation energy from raw total energies = 0.72 eV per formula unit
1.0
3.8341 -1.4457 0.0000
3.8341 1.4457 0.0000
-1.1590 0.0000 5.8644
Be Ag Se
1 2 1
direct
0.0000 0.0000 0.0000
0.2679 0.2679 0.8027
0.7321 0.7321 0.1973
0.5000 0.5000 0.5000

=====

Record 16
Be2AgSe, relaxed, DFT GGA-PBEsol; N(E_F) = 0.375 states/eV per atom; ρ = 6.18 g cm⁻³; total DFT energy (no corrections) = -13.51 eV for the cell shown; total magnetization = 0.000 μB/atom; calculated volume = 13.75 Å³/atom; formation energy from raw total energies = 1.65 eV per formula unit
1.0
4.1521 0.0000 0.0000
0.0000 4.1521 0.0000
0.0000 0.0000 3.1906
Be Ag Se
2 1 1
direct
0.0000 0.5000 0.0000
0.5000 0.0000 0.0000
0.0000 0.0000 0.5000
0.5000 0.5000 0.5000

=====

Record 17
BeAg2Se, relaxed, DFT GGA-PBEsol; N(E_F) = 0.176 states/eV per atom; excess energy over the best structure of this formula in the dataset = 0.000 eV/atom; ρ = 7.95 g cm⁻³; total DFT energy (no corrections) = -13.92 eV for the cell shown; total magnetization = 0.000 μB/atom; calculated volume = 15.87 Å³/atom; formation energy from raw total energies = 0.55 eV per formula unit
1.0
3.2281 0.0000 0.0000
0.0000 3.2281 0.0000
0.0000 0.0000 6.0905
Be Ag Se
1 2 1
direct
0.0000 0.0000 0.0000
0.0000 0.0000 0.4636
0.5000 0.5000 0.7282
0.5000 0.5000 0.1499

=====

Record 18
Be2AgSe, relaxed, DFT GGA-PBEsol; N(E_F) = 0.335 states/eV per atom; ρ = 6.06 g cm⁻³; total DFT energy (no corrections) = -13.26 eV for the cell shown; total magnetization = 0.000 μB/atom; calculated volume = 14.02 Å³/atom; formation energy from raw total energies = 1.90 eV per formula unit
1.0
-1.6448 2.3166 3.6806
1.6448 -2.3166 3.6806
1.6448 2.3166 -3.6806
Be Ag Se
2 1 1
direct
0.2352 0.2352 0.0000
0.7648 0.7648 0.0000
0.5000 0.0000 0.5000
0.0000 0.5000 0.5000

=====

Record 19
BeSi2Ag, relaxed, DFT GGA-PBEsol; N(E_F) = 0.378 states/eV per atom; ρ = 4.91 g cm⁻³; total DFT energy (no corrections) = -16.77 eV for the cell shown; total magnetization = 0.000 μB/atom; calculated volume = 14.63 Å³/atom; formation energy from raw total energies = 2.03 eV per formula unit
1.0
4.7648 0.0000 0.0000
0.0000 4.7648 0.0000
0.0000 0.0000 2.5780
Be Si Ag
1 2 1
direct
0.0000 0.0000 0.0000
0.0000 0.5000 0.5000
0.5000 0.0000 0.5000
0.5000 0.5000 0.0000

=====

Record 20
BeSiAg2, relaxed, DFT GGA-PBEsol; N(E_F) = 0.278 states/eV per atom; excess energy over the best structure of this formula in the dataset = 0.000 eV/atom; ρ = 7.46 g cm⁻³; total DFT energy (no corrections) = -15.58 eV for the cell shown; total magnetization = 0.000 μB/atom; calculated volume = 14.07 Å³/atom; formation energy from raw total energies = 0.79 eV per formula unit
1.0
2.9643 0.0000 0.0000
0.0000 3.5327 0.0000
0.0000 0.0000 5.3727
Be Si Ag
1 1 2
direct
0.0000 0.0000 0.0000
0.5000 0.5000 0.2392
0.0000 0.0000 0.4767
0.5000 0.5000 0.7814